1.
Computed, not measured: an optimized crystal structure of Rb3ErSb2Se6 at the PBE-GGA level of DFT.

Cell: 7.3863 7.3863 8.3442 Å, 98.48 98.48 119.99°
Atoms (fractional coordinates):
Se (0.3939, 0.0650, 0.1951)
Se (0.9350, 0.6061, 0.8049)
Se (0.6061, 0.9350, 0.8049)
Se (0.0650, 0.3939, 0.1951)
Se (0.7363, 0.7363, 0.1958)
Se (0.2637, 0.2637, 0.8042)
Rb (0.8313, 0.1687, 0.5000)
Rb (0.5000, 0.5000, 0.5000)
Rb (0.1687, 0.8313, 0.5000)
Sb (0.3336, 0.6664, 0.0000)
Sb (0.6664, 0.3336, 0.0000)
Er (0.0000, 0.0000, 0.0000)

Properties
* total magnetization: 0.00 Bohr magnetons per cell
* uncorrected energy: -4.080 eV per atom

2.
Computed, not measured: an optimized crystal structure of Rb2ErSbTe4 at the PBE-GGA level of DFT.

Cell: 9.4767 9.4767 9.3860 Å, 119.68 119.68 90.01°
Atoms (fractional coordinates):
Te (0.2315, 0.2685, 0.4688)
Te (0.7685, 0.7315, 0.9688)
Te (0.7685, 0.7315, 0.5312)
Te (0.8005, 0.2686, 0.0345)
Te (0.1996, 0.7314, 0.9655)
Te (0.2315, 0.2685, 0.0312)
Te (0.2314, 0.6995, 0.4655)
Te (0.7686, 0.3004, 0.5345)
Sb (0.0000, 0.0000, 0.0000)
Sb (0.5000, 0.5000, 0.5000)
Rb (0.5000, 0.0000, 0.5000)
Rb (0.5000, 0.0000, 0.0000)
Rb (0.5000, 0.5000, 0.0000)
Rb (0.0000, 0.0000, 0.5000)
Er (0.0000, 0.5000, 0.0000)
Er (0.0000, 0.5000, 0.5000)

Properties
* total magnetization: 0.00 Bohr magnetons per cell
* uncorrected energy: -3.798 eV per atom

no.,formation energy from raw total energies (meV/atom)
1,-1029
2,-899